DFT (GGA-PBE) results for a relaxed AlGaTc crystal.

Unit cell a=4.2004 b=4.2004 c=4.2004 alpha=60.00 beta=60.00 gamma=60.00
Last column: nearest neighbours and their distance in Å.
Fractional positions:
Al  0.0000  0.0000  0.0000  4 Tc 2.57
Ga  0.5000  0.5000  0.5000  4 Tc 2.57
Tc  0.2500  0.2500  0.2500  4 Al 2.57, 4 Ga 2.57

Results
E (eV per cell): -16.76
Space-group type: F-43m